Crystalline BaAlW2 at its relaxed geometry, computed with PBE-GGA.

```
4
Lattice="2.8633 0.0000 0.0000 0.0000 5.4135 0.0000 0.0000 0.0000 5.3155" Properties=species:S:1:pos:R:3 pbc="T T T"
Ba 0.0000 2.7067 2.6578
W 0.0000 0.0000 0.0000
W 1.4317 2.7067 0.0000
Al 1.4317 0.0000 2.6578
```

Results
For the formation energy, the calculation gives 1302 meV/atom.